{"formula": "Tb3HoBi3", "functional": "PBE", "state": "optimized geometry", "lattice_angstrom": [[4.555, 2.630, 6.294], [-4.555, 2.630, 6.294], [0.000, -5.260, 6.294]], "species": ["Tb", "Tb", "Tb", "Tb", "Tb", "Tb", "Ho", "Ho", "Bi", "Bi", "Bi", "Bi", "Bi", "Bi"], "fractional_positions": [[0.084, 0.826, 0.337], [0.174, 0.663, 0.916], [0.337, 0.084, 0.826], [0.663, 0.916, 0.174], [0.826, 0.337, 0.084], [0.916, 0.174, 0.663], [0.333, 0.333, 0.333], [0.667, 0.667, 0.667], [0.082, 0.476, 0.693], [0.307, 0.918, 0.524], [0.476, 0.693, 0.082], [0.524, 0.307, 0.918], [0.693, 0.082, 0.476], [0.918, 0.524, 0.307]], "n_ef_per_ev_fu": 5.50, "crystal_system": "trigonal", "formation_energy_ev_per_fu": -4.6, "final_energy_ev_per_cell": -69.47, "volume_a3_per_cell": 452}